! FeMoOF2 GGA+U relaxed; values from VASP
! space group = P4/mmm (123)
&SYSTEM
  ibrav = 0, nat = 5, ntyp = 4
/
ATOMIC_SPECIES
Fe 55.84 Fe.upf
O 16.00 O.upf
F 19.00 F.upf
Mo 95.94 Mo.upf
CELL_PARAMETERS angstrom
3.943 0.000 0.000
0.000 3.943 0.000
0.000 0.000 3.924
ATOMIC_POSITIONS angstrom
Fe 0.000 0.000 0.000
O 0.000 0.000 1.962
F 1.971 0.000 0.000
F 0.000 1.971 0.000
Mo 1.971 1.971 1.962

! FeMoOF2 GGA+U relaxed; values from VASP
! space group = P4/mmm (123)
&SYSTEM
  ibrav = 0, nat = 5, ntyp = 4
/
ATOMIC_SPECIES
Mo 95.94 Mo.upf
O 16.00 O.upf
F 19.00 F.upf
Fe 55.84 Fe.upf
CELL_PARAMETERS angstrom
4.192 0.000 0.000
0.000 4.192 0.000
0.000 0.000 4.215
ATOMIC_POSITIONS angstrom
Mo 0.000 0.000 0.000
O 0.000 0.000 2.107
F 2.096 0.000 0.000
F 0.000 2.096 0.000
Fe 2.096 2.096 2.107

! FeMoO2F GGA+U relaxed; values from VASP
! space group = P4/mmm (123)
&SYSTEM
  ibrav = 0, nat = 5, ntyp = 4
/
ATOMIC_SPECIES
O 16.00 O.upf
Fe 55.84 Fe.upf
F 19.00 F.upf
Mo 95.94 Mo.upf
CELL_PARAMETERS angstrom
4.097 0.000 0.000
0.000 4.097 0.000
0.000 0.000 4.111
ATOMIC_POSITIONS angstrom
O 0.000 2.048 0.000
O 2.048 0.000 0.000
Fe 2.048 2.048 2.056
F 0.000 0.000 2.056
Mo 0.000 0.000 0.000

Number 1: energy -5.006 eV/atom. Number 2: energy -5.458 eV/atom. Number 3: energy -6.012 eV/atom.